(1)
# MnCoP2 GGA-PBE relaxed
data_MnCoP2
_chemical_formula_sum 'Mn2 Co2 P4'
_symmetry_space_group_name_H-M 'P m c 21'
_symmetry_Int_Tables_number 26
_symmetry_space_group_name_Hall 'P 2c -2'
_cell_length_a 3.065
_cell_length_b 5.763
_cell_length_c 5.186
_cell_angle_alpha 90.00
_cell_angle_beta 90.00
_cell_angle_gamma 90.00
loop_
_atom_site_label
_atom_site_type_symbol
_atom_site_fract_x
_atom_site_fract_y
_atom_site_fract_z
Mn1 Mn 0.000 0.056 0.000
Co1 Co 0.500 0.458 0.999
P1 P 0.000 0.316 0.684
P2 P 0.500 0.181 0.304
# - Energy above the lowest structure with this stoichiometry: 0 meV/atom
# - Formation energy: -0.610 eV/atom
# - M_tot: 0.0 μB per cell



(2)
# HoGa4Cu2Pt GGA-PBE relaxed
data_HoGa4Cu2Pt
_chemical_formula_sum 'Ho3 Ga12 Cu6 Pt3'
_symmetry_space_group_name_H-M 'R -3 m'
_symmetry_Int_Tables_number 166
_symmetry_space_group_name_Hall '-R 3 2"'
_cell_length_a 4.1944
_cell_length_b 4.1944
_cell_length_c 26.6330
_cell_angle_alpha 90.00
_cell_angle_beta 90.00
_cell_angle_gamma 120.00
loop_
_atom_site_label
_atom_site_type_symbol
_atom_site_fract_x
_atom_site_fract_y
_atom_site_fract_z
Ho1 Ho 0.0000 0.0000 0.0000
Ga1 Ga 0.0000 0.0000 0.1263
Ga2 Ga 0.0000 0.0000 0.3992
Cu1 Cu 0.0000 0.0000 0.2518
Pt1 Pt 0.0000 0.0000 0.5000
# - Formation energy: -0.406 eV/atom
# - M_tot: 0.0 μB per cell



(3)
# NpInIO6 GGA-PBE relaxed
data_NpInIO6
_chemical_formula_sum 'Np2 In2 I2 O12'
_symmetry_space_group_name_H-M 'P -3 1 c'
_symmetry_Int_Tables_number 163
_symmetry_space_group_name_Hall '-P 3 2c'
_cell_length_a 5.6829
_cell_length_b 5.6829
_cell_length_c 9.2494
_cell_angle_alpha 90.00
_cell_angle_beta 90.00
_cell_angle_gamma 120.00
loop_
_atom_site_label
_atom_site_type_symbol
_atom_site_fract_x
_atom_site_fract_y
_atom_site_fract_z
Np1 Np 0.3333 0.6667 0.2500
In1 In 0.0000 0.0000 0.0000
I1 I 0.3333 0.6667 0.7500
O1 O 0.0095 0.3433 0.6302
# - M_tot: 6.0 μB per cell
# - Uncorrected formation energy: -1356 meV/atom



(4)
# Sm5Ag4Au GGA-PBE relaxed
data_Sm5Ag4Au
_chemical_formula_sum 'Sm5 Ag4 Au1'
_symmetry_space_group_name_H-M 'P 4/m m m'
_symmetry_Int_Tables_number 123
_symmetry_space_group_name_Hall '-P 4 2'
_cell_length_a 3.682
_cell_length_b 3.682
_cell_length_c 18.749
_cell_angle_alpha 90.00
_cell_angle_beta 90.00
_cell_angle_gamma 90.00
loop_
_atom_site_label
_atom_site_type_symbol
_atom_site_fract_x
_atom_site_fract_y
_atom_site_fract_z
Sm1 Sm 0.000 0.000 0.000
Sm2 Sm 0.000 0.000 0.201
Sm3 Sm 0.000 0.000 0.403
Ag1 Ag 0.500 0.500 0.101
Ag2 Ag 0.500 0.500 0.300
Au1 Au 0.500 0.500 0.500
# - Formation energy: -0.388 eV/atom
# - M_tot: 0.0 μB per cell



(5)
# Ta2PbW GGA-PBE relaxed
data_Ta2PbW
_chemical_formula_sum 'Ta4 Pb2 W2'
_symmetry_space_group_name_H-M 'C 1 2/m 1'
_symmetry_Int_Tables_number 12
_symmetry_space_group_name_Hall '-C 2y'
_cell_length_a 5.818
_cell_length_b 9.059
_cell_length_c 2.948
_cell_angle_alpha 90.00
_cell_angle_beta 102.89
_cell_angle_gamma 90.00
loop_
_atom_site_label
_atom_site_type_symbol
_atom_site_fract_x
_atom_site_fract_y
_atom_site_fract_z
Ta1 Ta 0.250 0.250 0.000
Pb1 Pb 0.000 0.000 0.500
W1 W 0.000 0.500 0.500
# - Formation energy: 0.513 eV/atom
# - M_tot: 0.0 μB per cell



(6)
# Li2AlVTc GGA-PBE relaxed
data_Li2AlVTc
_chemical_formula_sum 'Li2 Al1 V1 Tc1'
_symmetry_space_group_name_H-M 'P 4/m m m'
_symmetry_Int_Tables_number 123
_symmetry_space_group_name_Hall '-P 4 2'
_cell_length_a 4.666
_cell_length_b 4.666
_cell_length_c 4.309
_cell_angle_alpha 90.00
_cell_angle_beta 90.00
_cell_angle_gamma 90.00
loop_
_atom_site_label
_atom_site_type_symbol
_atom_site_fract_x
_atom_site_fract_y
_atom_site_fract_z
Li1 Li 0.000 0.500 0.000
Al1 Al 0.000 0.000 0.500
V1 V 0.500 0.500 0.500
Tc1 Tc 0.500 0.500 0.000
# - Formation energy: 0.931 eV/atom
# - M_tot: 0.0 μB per cell



(7)
# Cs2SrPbI6 GGA-PBE relaxed
data_Cs2SrPbI6
_chemical_formula_sum 'Cs4 Sr2 Pb2 I12'
_symmetry_space_group_name_H-M 'P 1 21/c 1'
_symmetry_Int_Tables_number 14
_symmetry_space_group_name_Hall '-P 2ybc'
_cell_length_a 8.765
_cell_length_b 9.155
_cell_length_c 15.368
_cell_angle_alpha 90.00
_cell_angle_beta 124.53
_cell_angle_gamma 90.00
loop_
_atom_site_label
_atom_site_type_symbol
_atom_site_fract_x
_atom_site_fract_y
_atom_site_fract_z
Cs1 Cs 0.225 0.073 0.249
Sr1 Sr 0.500 0.000 0.000
Pb1 Pb 0.000 0.000 0.500
I1 I 0.151 0.202 0.956
I2 I 0.258 0.699 0.956
I3 I 0.337 0.015 0.748
# - Energy above the lowest structure with this stoichiometry: 0 meV/atom
# - M_tot: 0.0 μB per cell
# - Uncorrected formation energy: -1336 meV/atom



(8)
# Tb6SmSe8 GGA-PBE relaxed
data_Tb6SmSe8
_chemical_formula_sum 'Tb24 Sm4 Se32'
_symmetry_space_group_name_H-M 'F m -3 m'
_symmetry_Int_Tables_number 225
_symmetry_space_group_name_Hall '-F 4 2 3'
_cell_length_a 11.557
_cell_length_b 11.557
_cell_length_c 11.557
_cell_angle_alpha 90.00
_cell_angle_beta 90.00
_cell_angle_gamma 90.00
loop_
_atom_site_label
_atom_site_type_symbol
_atom_site_fract_x
_atom_site_fract_y
_atom_site_fract_z
Tb1 Tb 0.000 0.250 0.250
Sm1 Sm 0.000 0.000 0.000
Se1 Se 0.000 0.000 0.257
Se2 Se 0.250 0.250 0.250
# - M_tot: 0.0 μB per cell
# - Uncorrected formation energy: -1847 meV/atom



(9)
# SrCdRe2 GGA-PBE relaxed
data_SrCdRe2
_chemical_formula_sum 'Sr2 Cd2 Re4'
_symmetry_space_group_name_H-M 'I m m 2'
_symmetry_Int_Tables_number 44
_symmetry_space_group_name_Hall 'I 2 -2'
_cell_length_a 3.756
_cell_length_b 5.154
_cell_length_c 9.339
_cell_angle_alpha 90.00
_cell_angle_beta 90.00
_cell_angle_gamma 90.00
loop_
_atom_site_label
_atom_site_type_symbol
_atom_site_fract_x
_atom_site_fract_y
_atom_site_fract_z
Sr1 Sr 0.000 0.000 0.000
Cd1 Cd 0.000 0.500 0.785
Re1 Re 0.000 0.000 0.560
Re2 Re 0.000 0.500 0.219
# - Formation energy: 0.752 eV/atom
# - M_tot: 0.0 μB per cell



(10)
# Nd2WC3 GGA-PBE relaxed
data_Nd2WC3
_chemical_formula_sum 'Nd8 W4 C12'
_symmetry_space_group_name_H-M 'C 1 2/c 1'
_symmetry_Int_Tables_number 15
_symmetry_space_group_name_Hall '-C 2yc'
_cell_length_a 11.007
_cell_length_b 5.518
_cell_length_c 6.668
_cell_angle_alpha 90.00
_cell_angle_beta 108.07
_cell_angle_gamma 90.00
loop_
_atom_site_label
_atom_site_type_symbol
_atom_site_fract_x
_atom_site_fract_y
_atom_site_fract_z
Nd1 Nd 0.174 0.002 0.088
W1 W 0.000 0.446 0.250
C1 C 0.000 0.106 0.250
C2 C 0.140 0.490 0.067
# - Formation energy: 0.029 eV/atom
# - M_tot: 0.0 μB per cell



(11)
# GaTeN2F GGA-PBE relaxed
data_GaTeN2F
_chemical_formula_sum 'Ga1 Te1 N2 F1'
_symmetry_space_group_name_H-M 'P 4/m m m'
_symmetry_Int_Tables_number 123
_symmetry_space_group_name_Hall '-P 4 2'
_cell_length_a 4.051
_cell_length_b 4.051
_cell_length_c 4.550
_cell_angle_alpha 90.00
_cell_angle_beta 90.00
_cell_angle_gamma 90.00
loop_
_atom_site_label
_atom_site_type_symbol
_atom_site_fract_x
_atom_site_fract_y
_atom_site_fract_z
Ga1 Ga 0.000 0.000 0.000
Te1 Te 0.500 0.500 0.500
N1 N 0.000 0.500 0.500
F1 F 0.500 0.500 0.000
# - Energy above the lowest structure with this stoichiometry: 231 meV/atom
# - M_tot: 0.0 μB per cell
# - Uncorrected formation energy: 563 meV/atom